Record 1
# Nb2Ni7Rh, relaxed, DFT PBE-GGA
data_Nb2Ni7Rh
_symmetry_space_group_name_H-M 'P 1'
_symmetry_Int_Tables_number 1
_symmetry_space_group_name_Hall 'P 1'
_cell_length_a 7.6463
_cell_length_b 7.6463
_cell_length_c 3.4479
_cell_angle_alpha 90.00
_cell_angle_beta 90.00
_cell_angle_gamma 131.79
loop_
_atom_site_label
_atom_site_type_symbol
_atom_site_fract_x
_atom_site_fract_y
_atom_site_fract_z
_atom_site_occupancy
Nb1 Nb 0.1997 0.8003 0.0000 1
Nb2 Nb 0.8003 0.1997 0.0000 1
Ni1 Ni 0.0000 0.0000 0.0000 1
Ni2 Ni 0.2077 0.4035 0.0000 1
Ni3 Ni 0.3201 0.6799 0.5000 1
Ni4 Ni 0.4035 0.2077 0.0000 1
Ni5 Ni 0.5965 0.7923 0.0000 1
Ni6 Ni 0.6799 0.3201 0.5000 1
Ni7 Ni 0.7923 0.5965 0.0000 1
Rh1 Rh 0.5000 0.5000 0.5000 1
# Symmetry = Cmmm, No. 65
# DFT total energy = -0.2336 hartree per atom
# Energy of formation from the pure elements = 425 kJ/mol of formula units

Record 2
# CaBe3Pt, relaxed, DFT PBE-GGA
data_CaBe3Pt
_symmetry_space_group_name_H-M 'P 1'
_symmetry_Int_Tables_number 1
_symmetry_space_group_name_Hall 'P 1'
_cell_length_a 4.5427
_cell_length_b 4.5427
_cell_length_c 4.5427
_cell_angle_alpha 90.00
_cell_angle_beta 90.00
_cell_angle_gamma 90.00
loop_
_atom_site_label
_atom_site_type_symbol
_atom_site_fract_x
_atom_site_fract_y
_atom_site_fract_z
_atom_site_occupancy
Ca1 Ca 0.0000 0.0000 0.0000 1
Be1 Be 0.0000 0.0000 0.5000 1
Be2 Be 0.0000 0.5000 0.0000 1
Be3 Be 0.5000 0.0000 0.0000 1
Pt1 Pt 0.5000 0.5000 0.5000 1
# Symmetry = Pm-3m, No. 221
# DFT total energy = -0.0590 hartree per atom
# Energy of formation from the pure elements = 1079 kJ/mol of formula units

Record 3
# BaAsSe2Br, relaxed, DFT PBE-GGA
data_BaAsSe2Br
_symmetry_space_group_name_H-M 'P 1'
_symmetry_Int_Tables_number 1
_symmetry_space_group_name_Hall 'P 1'
_cell_length_a 5.2544
_cell_length_b 5.2544
_cell_length_c 5.3091
_cell_angle_alpha 90.00
_cell_angle_beta 90.00
_cell_angle_gamma 90.00
loop_
_atom_site_label
_atom_site_type_symbol
_atom_site_fract_x
_atom_site_fract_y
_atom_site_fract_z
_atom_site_occupancy
Ba1 Ba 0.0000 0.0000 0.0000 1
As1 As 0.5000 0.5000 0.5000 1
Se1 Se 0.0000 0.5000 0.5000 1
Se2 Se 0.5000 0.0000 0.5000 1
Br1 Br 0.5000 0.5000 0.0000 1
# Symmetry = P4/mmm, No. 123
# DFT total energy = -0.1442 hartree per atom
# Formation energy without anion corrections = -20.30 kcal/mol of atoms

Record 4
# Y3BeB2Pt9, relaxed, DFT PBE-GGA
data_Y3BeB2Pt9
_symmetry_space_group_name_H-M 'P 1'
_symmetry_Int_Tables_number 1
_symmetry_space_group_name_Hall 'P 1'
_cell_length_a 5.7158
_cell_length_b 5.7158
_cell_length_c 8.9557
_cell_angle_alpha 90.00
_cell_angle_beta 90.00
_cell_angle_gamma 120.00
loop_
_atom_site_label
_atom_site_type_symbol
_atom_site_fract_x
_atom_site_fract_y
_atom_site_fract_z
_atom_site_occupancy
Y1 Y 0.0000 0.0000 0.0000 1
Y2 Y 0.3333 0.6667 0.6027 1
Y3 Y 0.6667 0.3333 0.3973 1
Be1 Be 0.0000 0.0000 0.5000 1
B1 B 0.3333 0.6667 0.1573 1
B2 B 0.6667 0.3333 0.8427 1
Pt1 Pt 0.0000 0.5000 0.0000 1
Pt2 Pt 0.1626 0.3252 0.2999 1
Pt3 Pt 0.1626 0.8374 0.2999 1
Pt4 Pt 0.3252 0.1626 0.7001 1
Pt5 Pt 0.5000 0.0000 0.0000 1
Pt6 Pt 0.5000 0.5000 0.0000 1
Pt7 Pt 0.6748 0.8374 0.2999 1
Pt8 Pt 0.8374 0.1626 0.7001 1
Pt9 Pt 0.8374 0.6748 0.7001 1
# Symmetry = P-3m1, No. 164
# DFT total energy = -0.2547 hartree per atom
# Energy of formation from the pure elements = -1265 kJ/mol of formula units